DFT (PBE-GGA) results for a relaxed structure of Dy3Ho3Pu.

Values from the calculation:
The value obtained for the calculated volume is 32.31 A^3/atom. As for the size of the total moment: 5.9 μB per formula unit. For the total energy, the calculation gives -5.79 eV per atom. Its density of states at the Fermi level is 33.2 states/eV per cell. Its formation energy is 0.191 eV/atom.

a b c (Å): 6.120 6.120 14.386
angles (deg): 77.72 77.72 60.00
Positions (direct):
Pu  0.333  0.333  0.000
Pu  0.667  0.667  0.000
Ho  0.732  0.398  0.806
Ho  0.268  0.602  0.194
Ho  0.602  0.935  0.194
Ho  0.398  0.065  0.806
Ho  0.065  0.732  0.806
Ho  0.935  0.268  0.194
Dy  0.464  0.800  0.603
Dy  0.800  0.132  0.603
Dy  0.868  0.536  0.397
Dy  0.200  0.868  0.397
Dy  0.536  0.200  0.397
Dy  0.132  0.464  0.603

DFT (PBE-GGA) results for a relaxed structure of ScMn2Hg2.

Values from the calculation:
The value obtained for the calculated volume is 19.20 A^3/atom. As for the size of the total moment: 6.8 μB per formula unit. For the total energy, the calculation gives -4.85 eV per atom. Its density of states at the Fermi level is 8.9 states/eV per cell. Its formation energy is 0.207 eV/atom.

a b c (Å): 7.880 7.880 3.092
angles (deg): 90.00 90.00 90.00
Positions (direct):
Mn  0.122  0.378  0.000
Mn  0.878  0.622  0.000
Mn  0.622  0.122  0.000
Mn  0.378  0.878  0.000
Hg  0.824  0.324  0.500
Hg  0.324  0.176  0.500
Hg  0.676  0.824  0.500
Hg  0.176  0.676  0.500
Sc  0.000  0.000  0.000
Sc  0.500  0.500  0.000

DFT (PBE-GGA) results for a relaxed structure of TmInHgIr.

Values from the calculation:
The value obtained for the calculated volume is 20.55 A^3/atom. As for the size of the total moment: 0.0 μB per formula unit. For the total energy, the calculation gives -4.42 eV per atom. Its density of states at the Fermi level is 1.8 states/eV per cell. Its formation energy is -0.322 eV/atom.

a b c (Å): 4.880 4.880 4.880
angles (deg): 60.00 60.00 60.00
Positions (direct):
Tm  0.750  0.750  0.750
Hg  0.500  0.500  0.500
In  0.250  0.250  0.250
Ir  0.000  0.000  0.000

DFT (PBE-GGA) results for a relaxed structure of Pm2ErZn2.

Values from the calculation:
The value obtained for the calculated volume is 26.10 A^3/atom. Its energy above the lowest structure with this stoichiometry is 0 meV per atom. As for the size of the total moment: 0.8 μB per formula unit. For the total energy, the calculation gives -3.52 eV per atom. Its density of states at the Fermi level is 5.7 states/eV per cell. Its formation energy is -0.197 eV/atom.

a b c (Å): 3.541 3.620 10.341
angles (deg): 79.92 90.00 90.00
Positions (direct):
Pm  0.000  0.826  0.347
Pm  0.000  0.174  0.653
Er  0.000  0.000  0.000
Zn  0.500  0.419  0.163
Zn  0.500  0.581  0.837

DFT (PBE-GGA) results for a relaxed structure of CuRh2Au.

Values from the calculation:
The value obtained for the calculated volume is 14.90 A^3/atom. Its energy above the lowest structure with this stoichiometry is 102 meV per atom. As for the size of the total moment: 1.7 μB per formula unit. For the total energy, the calculation gives -5.35 eV per atom. Its density of states at the Fermi level is 5.9 states/eV per cell. Its formation energy is 0.165 eV/atom.

a b c (Å): 9.078 9.078 9.078
angles (deg): 17.58 17.58 17.58
Positions (direct):
Rh  0.006  0.006  0.006
Rh  0.494  0.494  0.494
Au  0.250  0.250  0.250
Cu  0.750  0.750  0.750

DFT (PBE-GGA) results for a relaxed structure of Tl2BiBr.

Values from the calculation:
The value obtained for the calculated volume is 31.12 A^3/atom. Its energy above the lowest structure with this stoichiometry is 96 meV per atom. As for the size of the total moment: 0.0 μB per formula unit. For the total energy, the calculation gives -2.76 eV per atom. The uncorrected formation energy is -0.187 eV per atom. Its density of states at the Fermi level is 1.4 states/eV per cell.

a b c (Å): 5.604 5.604 5.604
angles (deg): 60.00 60.00 60.00
Positions (direct):
Tl  0.250  0.250  0.250
Tl  0.750  0.750  0.750
Bi  0.500  0.500  0.500
Br  0.000  0.000  0.000

DFT (PBE-GGA) results for a relaxed structure of Na2HfPaSe4.

Values from the calculation:
The value obtained for the calculated volume is 24.14 A^3/atom. As for the size of the total moment: 1.7 μB per formula unit. For the total energy, the calculation gives -5.75 eV per atom. The uncorrected formation energy is -1.248 eV per atom. Its density of states at the Fermi level is 6.7 states/eV per cell.

a b c (Å): 3.906 6.798 7.607
angles (deg): 107.02 90.00 90.00
Positions (direct):
Se  0.000  0.727  0.225
Se  0.500  0.739  0.763
Se  0.000  0.273  0.775
Se  0.500  0.261  0.237
Hf  0.500  0.500  0.000
Na  0.000  0.500  0.500
Na  0.500  0.000  0.500
Pa  0.000  0.000  0.000

DFT (PBE-GGA) results for a relaxed structure of Ag4AuI5.

Values from the calculation:
The value obtained for the calculated volume is 35.99 A^3/atom. As for the size of the total moment: 0.0 μB per formula unit. For the total energy, the calculation gives -2.44 eV per atom. The uncorrected formation energy is -0.192 eV per atom.

a b c (Å): 4.669 4.669 38.122
angles (deg): 90.00 90.00 120.00
Positions (direct):
I  0.333  0.667  0.423
I  0.333  0.667  0.027
I  0.667  0.333  0.322
I  0.667  0.333  0.725
I  0.667  0.333  0.926
I  0.667  0.333  0.124
I  0.333  0.667  0.225
I  0.333  0.667  0.826
I  0.667  0.333  0.524
I  0.333  0.667  0.624
Ag  0.667  0.333  0.002
Ag  0.667  0.333  0.200
Ag  0.667  0.333  0.398
Ag  0.333  0.667  0.498
Ag  0.333  0.667  0.901
Ag  0.667  0.333  0.599
Ag  0.667  0.333  0.800
Ag  0.333  0.667  0.700
Au  0.333  0.667  0.301
Au  0.333  0.667  0.102

DFT (PBE-GGA) results for a relaxed structure of AcBPd4.

Values from the calculation:
The value obtained for the calculated volume is 18.86 A^3/atom. Its energy above the lowest structure with this stoichiometry is 0 meV per atom. As for the size of the total moment: 0.0 μB per formula unit. For the total energy, the calculation gives -5.77 eV per atom. Its density of states at the Fermi level is 6.3 states/eV per cell. Its formation energy is -0.510 eV/atom.

a b c (Å): 5.757 5.757 6.828
angles (deg): 90.00 90.00 90.00
Positions (direct):
Pd  0.328  0.828  0.000
Pd  0.172  0.328  0.000
Pd  0.672  0.172  0.000
Pd  0.828  0.672  0.000
Pd  0.500  0.500  0.697
Pd  0.000  0.000  0.303
Pd  0.500  0.500  0.303
Pd  0.000  0.000  0.697
Ac  0.500  0.000  0.500
Ac  0.000  0.500  0.500
B  0.000  0.000  0.000
B  0.500  0.500  0.000

> The highest size of the total moment belongs to which entry?

ScMn2Hg2

> Among the records above, which one has the highest size of the total moment?

ScMn2Hg2

> What is the formula in the eighth record?

Ag4AuI5

> Which of these has the lowest calculated volume?

CuRh2Au